# 1
# PrSm2ThSc4

An optimized crystal structure of PrSm2ThSc4 (GGA-PBE, the Alexandria database).

Computed properties:
Energy of formation in eV per atom: 0.040

Cell and atoms, written as CIF:
```
data_PrSm2ThSc4
_chemical_formula_sum 'Pr1 Sm2 Th1 Sc4'
_space_group_name_H-M_alt 'P 1'
_space_group_IT_number 1
_cell_length_a 5.0583
_cell_length_b 5.0691
_cell_length_c 9.0158
_cell_angle_alpha 90.00
_cell_angle_beta 90.00
_cell_angle_gamma 90.00
loop_
_space_group_symop_operation_xyz
'x,y,z'
loop_
_atom_site_label
_atom_site_type_symbol
_atom_site_fract_x
_atom_site_fract_y
_atom_site_fract_z
Pr1 Pr 0.0000 0.0000 0.0000
Sm1 Sm 0.0000 0.0000 0.5000
Sm2 Sm 0.5000 0.5000 0.0000
Th1 Th 0.5000 0.5000 0.5000
Sc1 Sc 0.0000 0.5000 0.2548
Sc2 Sc 0.0000 0.5000 0.7452
Sc3 Sc 0.5000 0.0000 0.2552
Sc4 Sc 0.5000 0.0000 0.7448
```

***

# 2
# NaMg4Tl7

An optimized crystal structure of NaMg4Tl7 (GGA-PBE, the Alexandria database).

Computed properties:
Energy of formation in eV per atom: 0.028

Cell and atoms, written as CIF:
```
data_NaMg4Tl7
_chemical_formula_sum 'Na1 Mg4 Tl7'
_space_group_name_H-M_alt 'P 1'
_space_group_IT_number 1
_cell_length_a 7.8926
_cell_length_b 7.8926
_cell_length_c 9.6106
_cell_angle_alpha 122.07
_cell_angle_beta 122.07
_cell_angle_gamma 43.21
loop_
_space_group_symop_operation_xyz
'x,y,z'
loop_
_atom_site_label
_atom_site_type_symbol
_atom_site_fract_x
_atom_site_fract_y
_atom_site_fract_z
Na1 Na 0.0000 0.0000 0.0000
Mg1 Mg 0.3065 0.3065 0.6514
Mg2 Mg 0.4631 0.4631 0.2901
Mg3 Mg 0.5369 0.5369 0.7099
Mg4 Mg 0.6935 0.6935 0.3486
Tl1 Tl 0.0623 0.0623 0.3960
Tl2 Tl 0.2134 0.2134 0.8867
Tl3 Tl 0.2703 0.2703 0.3093
Tl4 Tl 0.5000 0.5000 0.0000
Tl5 Tl 0.7297 0.7297 0.6907
Tl6 Tl 0.7866 0.7866 0.1133
Tl7 Tl 0.9377 0.9377 0.6040
```

***

# 3
# ErGePd6

An optimized crystal structure of ErGePd6 (GGA-PBE, the Alexandria database).

Computed properties:
Energy of formation in eV per atom: -0.251
ΔE to the lowest computed polymorph in meV/atom: 385

Cell and atoms, written as CIF:
```
data_ErGePd6
_chemical_formula_sum 'Er1 Ge1 Pd6'
_space_group_name_H-M_alt 'P 1'
_space_group_IT_number 1
_cell_length_a 5.3475
_cell_length_b 5.3475
_cell_length_c 5.3475
_cell_angle_alpha 93.50
_cell_angle_beta 93.50
_cell_angle_gamma 93.50
loop_
_space_group_symop_operation_xyz
'x,y,z'
loop_
_atom_site_label
_atom_site_type_symbol
_atom_site_fract_x
_atom_site_fract_y
_atom_site_fract_z
Er1 Er 0.0000 0.0000 0.0000
Ge1 Ge 0.5000 0.5000 0.5000
Pd1 Pd 0.1812 0.1812 0.5609
Pd2 Pd 0.1812 0.5609 0.1812
Pd3 Pd 0.4391 0.8188 0.8188
Pd4 Pd 0.5609 0.1812 0.1812
Pd5 Pd 0.8188 0.4391 0.8188
Pd6 Pd 0.8188 0.8188 0.4391
```

***

# 4
# TmCo9Si3

An optimized crystal structure of TmCo9Si3 (GGA-PBE, the Alexandria database).

Computed properties:
Uncorrected formation energy in kJ/mol of atoms: -33.7

Cell and atoms, written as CIF:
```
data_TmCo9Si3
_chemical_formula_sum 'Tm1 Co9 Si3'
_space_group_name_H-M_alt 'P 1'
_space_group_IT_number 1
_cell_length_a 6.2257
_cell_length_b 6.2257
_cell_length_c 6.1114
_cell_angle_alpha 98.05
_cell_angle_beta 98.05
_cell_angle_gamma 135.52
loop_
_space_group_symop_operation_xyz
'x,y,z'
loop_
_atom_site_label
_atom_site_type_symbol
_atom_site_fract_x
_atom_site_fract_y
_atom_site_fract_z
Tm1 Tm 0.0000 0.0000 0.0000
Co1 Co 0.0000 0.0000 0.5000
Co2 Co 0.0041 0.6492 0.6495
Co3 Co 0.2765 0.5042 0.7764
Co4 Co 0.3508 0.9959 0.3505
Co5 Co 0.4958 0.7235 0.2236
Co6 Co 0.5042 0.2765 0.7764
Co7 Co 0.6492 0.0041 0.6495
Co8 Co 0.7235 0.4958 0.2236
Co9 Co 0.9959 0.3508 0.3505
Si1 Si 0.0000 0.5000 0.0000
Si2 Si 0.5000 0.0000 0.0000
Si3 Si 0.5000 0.5000 0.5000
```

***

# 5
# RbU3Cu4S12

An optimized crystal structure of RbU3Cu4S12 (GGA-PBE, the Alexandria database).

Computed properties:
Uncorrected formation energy in kJ/mol of atoms: -73.2

Cell and atoms, written as CIF:
```
data_RbU3Cu4S12
_chemical_formula_sum 'Rb1 U3 Cu4 S12'
_space_group_name_H-M_alt 'P 1'
_space_group_IT_number 1
_cell_length_a 8.5612
_cell_length_b 8.5612
_cell_length_c 8.5612
_cell_angle_alpha 106.30
_cell_angle_beta 106.30
_cell_angle_gamma 106.30
loop_
_space_group_symop_operation_xyz
'x,y,z'
loop_
_atom_site_label
_atom_site_type_symbol
_atom_site_fract_x
_atom_site_fract_y
_atom_site_fract_z
Rb1 Rb 0.0000 0.0000 0.0000
U1 U 0.0000 0.5620 0.4380
U2 U 0.4380 0.0000 0.5620
U3 U 0.5620 0.4380 0.0000
Cu1 Cu 0.0630 0.5000 0.9370
Cu2 Cu 0.5000 0.5000 0.5000
Cu3 Cu 0.5000 0.9370 0.0630
Cu4 Cu 0.9370 0.0630 0.5000
S1 S 0.0372 0.6275 0.7478
S2 S 0.0986 0.9014 0.5000
S3 S 0.2522 0.3725 0.9628
S4 S 0.3390 0.6610 0.5000
S5 S 0.3725 0.9628 0.2522
S6 S 0.5000 0.0986 0.9014
S7 S 0.5000 0.3390 0.6610
S8 S 0.6275 0.7478 0.0372
S9 S 0.6610 0.5000 0.3390
S10 S 0.7478 0.0372 0.6275
S11 S 0.9014 0.5000 0.0986
S12 S 0.9628 0.2522 0.3725
```

***

# 6
# Bi2MoRu

An optimized crystal structure of Bi2MoRu (GGA-PBE, the Alexandria database).

Computed properties:
Energy of formation in eV per atom: 0.960
ΔE to the lowest computed polymorph in meV/atom: 380

Cell and atoms, written as CIF:
```
data_Bi2MoRu
_chemical_formula_sum 'Bi8 Mo4 Ru4'
_space_group_name_H-M_alt 'P 1'
_space_group_IT_number 1
_cell_length_a 4.4985
_cell_length_b 4.4985
_cell_length_c 18.3680
_cell_angle_alpha 90.00
_cell_angle_beta 90.00
_cell_angle_gamma 90.00
loop_
_space_group_symop_operation_xyz
'x,y,z'
loop_
_atom_site_label
_atom_site_type_symbol
_atom_site_fract_x
_atom_site_fract_y
_atom_site_fract_z
Bi1 Bi 0.2420 0.2500 0.1250
Bi2 Bi 0.2500 0.7420 0.3750
Bi3 Bi 0.2500 0.7580 0.8750
Bi4 Bi 0.2580 0.2500 0.6250
Bi5 Bi 0.7420 0.7500 0.6250
Bi6 Bi 0.7500 0.2420 0.8750
Bi7 Bi 0.7500 0.2580 0.3750
Bi8 Bi 0.7580 0.7500 0.1250
Mo1 Mo 0.0000 0.0000 0.5000
Mo2 Mo 0.0000 0.5000 0.7500
Mo3 Mo 0.5000 0.0000 0.2500
Mo4 Mo 0.5000 0.5000 0.0000
Ru1 Ru 0.0000 0.0000 0.0000
Ru2 Ru 0.0000 0.5000 0.2500
Ru3 Ru 0.5000 0.0000 0.7500
Ru4 Ru 0.5000 0.5000 0.5000
```

***

# 7
# Ba2TlPd2

An optimized crystal structure of Ba2TlPd2 (GGA-PBE, the Alexandria database).

Computed properties:
Energy of formation in eV per atom: -0.298

Cell and atoms, written as CIF:
```
data_Ba2TlPd2
_chemical_formula_sum 'Ba4 Tl2 Pd4'
_space_group_name_H-M_alt 'P 1'
_space_group_IT_number 1
_cell_length_a 3.9525
_cell_length_b 3.9525
_cell_length_c 20.1383
_cell_angle_alpha 90.00
_cell_angle_beta 90.00
_cell_angle_gamma 90.00
loop_
_space_group_symop_operation_xyz
'x,y,z'
loop_
_atom_site_label
_atom_site_type_symbol
_atom_site_fract_x
_atom_site_fract_y
_atom_site_fract_z
Ba1 Ba 0.0000 0.0000 0.1243
Ba2 Ba 0.0000 0.0000 0.8757
Ba3 Ba 0.5000 0.5000 0.3757
Ba4 Ba 0.5000 0.5000 0.6243
Tl1 Tl 0.0000 0.0000 0.5000
Tl2 Tl 0.5000 0.5000 0.0000
Pd1 Pd 0.0000 0.5000 0.2500
Pd2 Pd 0.0000 0.5000 0.7500
Pd3 Pd 0.5000 0.0000 0.2500
Pd4 Pd 0.5000 0.0000 0.7500
```

***

# 8
# LaTlF2

An optimized crystal structure of LaTlF2 (GGA-PBE, the Alexandria database).

Computed properties:
ΔE to the lowest computed polymorph in meV/atom: 90
Uncorrected formation energy in kJ/mol of atoms: -225.9

Cell and atoms, written as CIF:
```
data_LaTlF2
_chemical_formula_sum 'La3 Tl3 F6'
_space_group_name_H-M_alt 'P 1'
_space_group_IT_number 1
_cell_length_a 3.5581
_cell_length_b 3.5581
_cell_length_c 27.5491
_cell_angle_alpha 90.00
_cell_angle_beta 90.00
_cell_angle_gamma 120.00
loop_
_space_group_symop_operation_xyz
'x,y,z'
loop_
_atom_site_label
_atom_site_type_symbol
_atom_site_fract_x
_atom_site_fract_y
_atom_site_fract_z
La1 La 0.0000 0.0000 0.0000
La2 La 0.3333 0.6667 0.6667
La3 La 0.6667 0.3333 0.3333
Tl1 Tl 0.0000 0.0000 0.5000
Tl2 Tl 0.3333 0.6667 0.1667
Tl3 Tl 0.6667 0.3333 0.8333
F1 F 0.0000 0.0000 0.3853
F2 F 0.0000 0.0000 0.6147
F3 F 0.3333 0.6667 0.0520
F4 F 0.3333 0.6667 0.2813
F5 F 0.6667 0.3333 0.7187
F6 F 0.6667 0.3333 0.9480
```

***

# 9
# Ac2MgH6Rh

An optimized crystal structure of Ac2MgH6Rh (GGA-PBE, the Alexandria database).

Computed properties:
Calculated total energy in eV per atom: -4.07

Cell and atoms, written as CIF:
```
data_Ac2MgH6Rh
_chemical_formula_sum 'Ac2 Mg1 H6 Rh1'
_space_group_name_H-M_alt 'P 1'
_space_group_IT_number 1
_cell_length_a 5.9071
_cell_length_b 5.9071
_cell_length_c 5.9071
_cell_angle_alpha 126.74
_cell_angle_beta 126.74
_cell_angle_gamma 78.68
loop_
_space_group_symop_operation_xyz
'x,y,z'
loop_
_atom_site_label
_atom_site_type_symbol
_atom_site_fract_x
_atom_site_fract_y
_atom_site_fract_z
Ac1 Ac 0.2500 0.7500 0.5000
Ac2 Ac 0.7500 0.2500 0.5000
Mg1 Mg 0.0000 0.0000 0.0000
H1 H 0.2128 0.2128 0.0000
H2 H 0.2691 0.2691 0.5383
H3 H 0.2691 0.7309 0.0000
H4 H 0.7309 0.2691 0.0000
H5 H 0.7309 0.7309 0.4617
H6 H 0.7872 0.7872 0.0000
Rh1 Rh 0.5000 0.5000 0.0000
```

***

# 10
# SnAsOsC2

An optimized crystal structure of SnAsOsC2 (GGA-PBE, the Alexandria database).

Computed properties:
Energy of formation in eV per atom: 1.168

Cell and atoms, written as CIF:
```
data_SnAsOsC2
_chemical_formula_sum 'Sn1 As1 Os1 C2'
_space_group_name_H-M_alt 'P 1'
_space_group_IT_number 1
_cell_length_a 3.9576
_cell_length_b 3.9576
_cell_length_c 5.5201
_cell_angle_alpha 90.00
_cell_angle_beta 90.00
_cell_angle_gamma 90.00
loop_
_space_group_symop_operation_xyz
'x,y,z'
loop_
_atom_site_label
_atom_site_type_symbol
_atom_site_fract_x
_atom_site_fract_y
_atom_site_fract_z
Sn1 Sn 0.0000 0.0000 0.0000
As1 As 0.5000 0.5000 0.0000
Os1 Os 0.5000 0.5000 0.5000
C1 C 0.0000 0.5000 0.5000
C2 C 0.5000 0.0000 0.5000
```

***

# 11
# Pa2Ni15Rh2

An optimized crystal structure of Pa2Ni15Rh2 (GGA-PBE, the Alexandria database).

Computed properties:
Energy of formation in eV per atom: -0.258
ΔE to the lowest computed polymorph in meV/atom: 0

Cell and atoms, written as CIF:
```
data_Pa2Ni15Rh2
_chemical_formula_sum 'Pa2 Ni15 Rh2'
_space_group_name_H-M_alt 'P 1'
_space_group_IT_number 1
_cell_length_a 6.2906
_cell_length_b 6.2906
_cell_length_c 6.2906
_cell_angle_alpha 83.20
_cell_angle_beta 83.20
_cell_angle_gamma 83.20
loop_
_space_group_symop_operation_xyz
'x,y,z'
loop_
_atom_site_label
_atom_site_type_symbol
_atom_site_fract_x
_atom_site_fract_y
_atom_site_fract_z
Pa1 Pa 0.1655 0.1655 0.1655
Pa2 Pa 0.8345 0.8345 0.8345
Ni1 Ni 0.0000 0.5000 0.5000
Ni2 Ni 0.1490 0.1490 0.6620
Ni3 Ni 0.1490 0.6620 0.1490
Ni4 Ni 0.1984 0.5000 0.8016
Ni5 Ni 0.1984 0.8016 0.5000
Ni6 Ni 0.3380 0.8510 0.8510
Ni7 Ni 0.5000 0.0000 0.5000
Ni8 Ni 0.5000 0.1984 0.8016
Ni9 Ni 0.5000 0.5000 0.0000
Ni10 Ni 0.5000 0.8016 0.1984
Ni11 Ni 0.6620 0.1490 0.1490
Ni12 Ni 0.8016 0.1984 0.5000
Ni13 Ni 0.8016 0.5000 0.1984
Ni14 Ni 0.8510 0.3380 0.8510
Ni15 Ni 0.8510 0.8510 0.3380
Rh1 Rh 0.3912 0.3912 0.3912
Rh2 Rh 0.6088 0.6088 0.6088
```

***

# 12
# TaSN2

An optimized crystal structure of TaSN2 (GGA-PBE, the Alexandria database).

Computed properties:
Uncorrected formation energy in kJ/mol of atoms: -11.7

Cell and atoms, written as CIF:
```
data_TaSN2
_chemical_formula_sum 'Ta3 S3 N6'
_space_group_name_H-M_alt 'P 1'
_space_group_IT_number 1
_cell_length_a 3.1232
_cell_length_b 3.1232
_cell_length_c 18.5506
_cell_angle_alpha 90.00
_cell_angle_beta 90.00
_cell_angle_gamma 120.00
loop_
_space_group_symop_operation_xyz
'x,y,z'
loop_
_atom_site_label
_atom_site_type_symbol
_atom_site_fract_x
_atom_site_fract_y
_atom_site_fract_z
Ta1 Ta 0.0000 0.0000 0.0000
Ta2 Ta 0.3333 0.6667 0.6667
Ta3 Ta 0.6667 0.3333 0.3333
S1 S 0.0000 0.0000 0.5000
S2 S 0.3333 0.6667 0.1667
S3 S 0.6667 0.3333 0.8333
N1 N 0.0000 0.0000 0.3926
N2 N 0.0000 0.0000 0.6074
N3 N 0.3333 0.6667 0.0592
N4 N 0.3333 0.6667 0.2741
N5 N 0.6667 0.3333 0.7259
N6 N 0.6667 0.3333 0.9408
```

***

| no. | magnetization (μB per atom) |
| --- | --- |
| 1 | 0.00 |
| 2 | 0.00 |
| 3 | 0.00 |
| 4 | 0.62 |
| 5 | 0.00 |
| 6 | 0.35 |
| 7 | 0.02 |
| 8 | 0.00 |
| 9 | 0.00 |
| 10 | 0.00 |
| 11 | 0.25 |
| 12 | 0.00 |